Density functional theory data (PBE-GGA) for NdPaCS after structural relaxation.

Lattice parameters (Å, degrees): 3.9218 3.9218 13.5977 81.71 81.71 60.00
Each line ends with the local moment (μB).
Sites, in units of the cell vectors:
Pa1 0.6307 0.6307 0.1080  0.03
Nd1 0.2051 0.2051 0.3846  0.18
C1 0.6887 0.6887 0.9339  0.00
S1 0.0836 0.0836 0.7493  0.01
Nd2 0.7949 0.7949 0.6154  0.18
S2 0.9164 0.9164 0.2507  0.01
Pa2 0.3693 0.3693 0.8920  0.03
C2 0.3113 0.3113 0.0661  0.00

Energy relative to the elements, uncorrected, eV per atom: -0.9626
Symmetry: R-3m
Mass density, g cm⁻³: 7.80
Volume, Å³ per cell: 179
Uncorrected energy, eV per cell: -62.9